[1]
The following is a DFT calculation (PBE) of an optimized crystal structure of Tm2HfSc.

Properties
E_tot, eV/atom: -6.2240
Excess energy over the best structure of this formula in the dataset, meV/atom: 0.0
Space-group type: R3m
Volume, Å³ per cell: 105.6
Theoretical density, g/cm3: 8.8
ΔE_f, kJ/mol of atoms: 8.01

Cell lengths 3.3672, 3.3672, 10.9315 Å; angles 81.14, 81.14, 60.00 degrees
Last column: nearest neighbours and their distance in Å.
Element x y z (fractional)
Tm (0.2472, 0.2472, 0.2585)  3 Hf 3.23, 6 Tm 3.37, 3 Sc 3.38
Hf (0.5006, 0.5006, 0.4983)  6 Tm 3.23-3.26, 6 Hf 3.37
Sc (0.6661, 0.6661, 0.0016)  6 Sc 3.37, 6 Tm 3.38-3.41
Tm (0.0861, 0.0861, 0.7416)  3 Hf 3.26, 6 Tm 3.37, 3 Sc 3.41

---

[2]
The following is a DFT calculation (PBE) of an optimized crystal structure of BiSb2Se.

Properties
E_tot, eV/atom: -3.9415
Formation energy (no corrections), meV per atom: -39
Excess energy over the best structure of this formula in the dataset, meV/atom: 14.5
Space-group type: P1
Volume, Å³ per cell: 267.7
Theoretical density, g/cm3: 6.6

Cell lengths 6.3974, 6.5617, 6.5194 Å; angles 86.09, 78.76, 87.45 degrees
Last column: nearest neighbours and their distance in Å.
Element x y z (fractional)
Sb (0.2373, 0.7224, 0.5384)  1 Se 2.65, 1 Sb 2.94
Bi (0.7574, 0.1912, 0.0193)  1 Se 2.81, 2 Sb 3.04
Sb (0.7492, 0.7280, 0.0341)  1 Se 2.65
Se (0.1432, 0.5743, 0.9330)  2 Sb 2.65
Sb (0.7698, 0.2261, 0.5492)  1 Sb 2.96, 2 Bi 3.02-3.04
Sb (0.2349, 0.1716, 0.5253)  1 Se 2.65, 2 Sb 2.94-2.96
Se (0.3311, 0.0744, 0.1290)  1 Sb 2.65, 1 Bi 2.81
Bi (0.7240, 0.6860, 0.5055)  4 Sb 3.02-3.35

---

[3]
The following is a DFT calculation (PBE) of an optimized crystal structure of LaY2Sn.

Properties
E_tot, eV/atom: -5.9134
Space-group type: Cmcm
Volume, Å³ per cell: 259.5
Theoretical density, g/cm3: 5.6
ΔE_f, kJ/mol of atoms: -43.30

Cell lengths 4.8170, 4.7218, 11.6486 Å; angles 101.68, 90.00, 90.00 degrees
Last column: nearest neighbours and their distance in Å.
Element x y z (fractional)
La (0.2500, 0.3058, 0.6117)  5 Sn 3.34-3.46
Y (0.7500, 0.4426, 0.8855)  2 Sn 3.32, 8 Y 3.38-3.65
Y (0.2500, 0.5574, 0.1145)  2 Sn 3.32, 8 Y 3.38-3.65
Sn (0.7500, 0.8403, 0.6808)  4 Y 3.24-3.32, 5 La 3.34-3.46
Y (0.7500, 0.0646, 0.1291)  2 Sn 3.24, 4 Y 3.38
Sn (0.2500, 0.1597, 0.3192)  4 Y 3.24-3.32, 5 La 3.34-3.46
Y (0.2500, 0.9354, 0.8709)  2 Sn 3.24, 4 Y 3.38
La (0.7500, 0.6942, 0.3883)  5 Sn 3.34-3.46

---

[4]
The following is a DFT calculation (PBE) of an optimized crystal structure of YPtPb.

Properties
E_tot, eV/atom: -6.1215
Space-group type: P-6m2
Volume, Å³ per cell: 70.2
Theoretical density, g/cm3: 11.6
ΔE_f, kJ/mol of atoms: -69.19

Cell lengths 4.7457, 4.7457, 3.6010 Å; angles 90.00, 90.00, 120.00 degrees
Last column: nearest neighbours and their distance in Å.
Element x y z (fractional)
Y (0.3333, 0.6667, 0.6665)  6 Pt 3.28, 6 Pb 3.28, 2 Y 3.60
Pb (0.0000, 0.0000, 0.1667)  3 Pt 2.74
Pt (0.6667, 0.3333, 0.1668)  3 Pb 2.74

---

[5]
The following is a DFT calculation (PBE) of an optimized crystal structure of LiPrTlGa.

Properties
E_tot, eV/atom: -3.3798
Space-group type: F-43m
Volume, Å³ per cell: 97.2
Theoretical density, g/cm3: 7.2
ΔE_f, kJ/mol of atoms: -34.56

Cell lengths 5.1600, 5.1600, 5.1600 Å; angles 60.00, 60.00, 60.00 degrees
Last column: nearest neighbours and their distance in Å.
Element x y z (fractional)
Li (0.5000, 0.5000, 0.5000)  4 Ga 3.16, 4 Tl 3.16
Tl (0.7500, 0.7500, 0.7500)  4 Pr 3.16, 4 Li 3.16
Pr (0.0000, 0.0000, 0.0000)  4 Tl 3.16, 4 Ga 3.16
Ga (0.2500, 0.2500, 0.2500)  4 Pr 3.16, 4 Li 3.16

---

[6]
The following is a DFT calculation (PBE) of an optimized crystal structure of TlSiNi2.

Properties
E_tot, eV/atom: -4.8757
Formation energy (no corrections), meV per atom: -38
Excess energy over the best structure of this formula in the dataset, meV/atom: 27.6
Space-group type: R-3m
Volume, Å³ per cell: 65.3
Theoretical density, g/cm3: 8.9

Cell lengths 5.6461, 5.6461, 5.6461 Å; angles 39.42, 39.42, 39.42 degrees
Last column: nearest neighbours and their distance in Å.
Element x y z (fractional)
Ni (0.5408, 0.5408, 0.5408)  3 Si 2.30, 3 Ni 2.57
Ni (0.9592, 0.9592, 0.9592)  3 Si 2.30, 3 Ni 2.57
Si (0.2500, 0.2500, 0.2500)  6 Ni 2.30
Tl (0.7500, 0.7500, 0.7500)  8 Ni 2.93-3.26

---

[7]
The following is a DFT calculation (PBE) of an optimized crystal structure of CdPt3Br.

Properties
E_tot, eV/atom: -2.7409
Formation energy (no corrections), meV per atom: 1401
Excess energy over the best structure of this formula in the dataset, meV/atom: 440.6
Space-group type: Pm-3m
Volume, Å³ per cell: 126.9
Theoretical density, g/cm3: 10.2

Cell lengths 5.0255, 5.0255, 5.0255 Å; angles 90.00, 90.00, 90.00 degrees
Last column: nearest neighbours and their distance in Å.
Element x y z (fractional)
Br (0.5000, 0.5000, 0.5000)  12 Pt 3.55
Cd (0.0000, 0.0000, 0.0000)  6 Pt 2.51
Pt (0.0000, 0.0000, 0.5000)  2 Cd 2.51
Pt (0.0000, 0.5000, 0.0000)  2 Cd 2.51
Pt (0.5000, 0.0000, 0.0000)  2 Cd 2.51

---

[8]
The following is a DFT calculation (PBE) of an optimized crystal structure of TbPr2Th.

Properties
E_tot, eV/atom: -5.3561
Excess energy over the best structure of this formula in the dataset, meV/atom: 9.7
Space-group type: R-3m
Volume, Å³ per cell: 136.7
Theoretical density, g/cm3: 8.2
ΔE_f, kJ/mol of atoms: 4.46

Cell lengths 3.6415, 3.6415, 12.0903 Å; angles 81.34, 81.34, 60.00 degrees
Last column: nearest neighbours and their distance in Å.
Element x y z (fractional)
Tb (0.5000, 0.5000, 0.5000)  6 Tb 3.64, 6 Pr 3.68
Pr (0.2512, 0.2512, 0.2463)  3 Th 3.61, 6 Pr 3.64, 3 Tb 3.68
Th (0.0000, 0.0000, 0.0000)  6 Pr 3.61, 6 Th 3.64
Pr (0.7488, 0.7488, 0.7537)  3 Th 3.61, 6 Pr 3.64, 3 Tb 3.68